The following is a PBE with a Hubbard U calculation of CrCu2F after structural relaxation, from the Alexandria database.

```
CrCu2F
1.0
-1.225 -6.389 3.259
7.061 -0.496 1.682
2.544 -2.415 4.343
F Cr Cu
2 2 4
direct
0.500 0.500 0.000
0.250 0.750 0.500
0.750 0.250 0.500
0.000 0.000 0.000
0.875 0.820 0.750
0.375 0.430 0.750
0.180 0.625 0.250
0.570 0.125 0.250
```

Properties
DFT total energy: -4.58 eV/atom